<1>
DFT (SCAN) results for Li2ReMo at its PBEsol-relaxed geometry.

Structure (POSCAR):
```
Li2ReMo
1.0
-1.598 -2.086 1.465
2.959 -2.721 -0.647
2.055 1.271 4.051
Li Mo Re
2 1 1
Direct
0.000 0.000 0.000
0.500 0.500 0.000
0.500 0.000 0.500
0.000 0.500 0.500
```

Results
As for the crystal system: orthorhombic.

---

<2>
DFT (SCAN) results for Li2ReMo at its PBEsol-relaxed geometry.

Structure (POSCAR):
```
Li2ReMo
1.0
-1.469 -0.980 1.802
0.722 -3.941 -1.555
4.686 -0.256 2.823
Li Mo Re
2 1 1
Direct
0.813 0.500 0.233
0.942 0.000 0.009
0.492 0.000 0.528
0.253 0.500 0.730
```

Results
As for the crystal system: monoclinic.

---

<3>
DFT (SCAN) results for Li2ReMo at its PBEsol-relaxed geometry.

Structure (POSCAR):
```
Li2ReMo
1.0
-0.812 2.973 3.701
-4.518 2.853 -0.149
-2.690 -2.010 4.159
Li Mo Re
4 2 2
Direct
0.628 0.997 0.497
0.122 0.003 0.503
0.875 0.497 0.003
0.375 0.503 0.997
0.250 0.500 0.500
0.500 0.000 0.000
0.000 0.000 0.000
0.750 0.500 0.500
```

Results
As for the crystal system: tetragonal.

---

The least stable of them is <3>.

---

<1>
DFT (SCAN) results for LiReMo at its PBEsol-relaxed geometry.

Structure (POSCAR):
```
LiReMo
1.0
-2.167 -1.403 0.790
1.178 -0.553 -2.365
4.256 -4.755 3.231
Li Mo Re
1 1 1
Direct
0.000 0.000 0.008
0.333 0.667 0.655
0.667 0.333 0.337
```

Results
As for the crystal system: trigonal.

---

<2>
DFT (SCAN) results for LiReMo at its PBEsol-relaxed geometry.

Structure (POSCAR):
```
LiReMo
1.0
-0.671 2.456 -0.599
-1.165 -0.768 2.212
6.351 1.540 2.884
Re Mo Li
1 1 1
Direct
0.668 0.668 0.336
0.328 0.328 0.656
0.004 0.004 0.008
```

Results
As for the crystal system: orthorhombic.

---

The least stable of them is <1>.

---

<1>
DFT (SCAN) results for LiMoRh2 at its PBEsol-relaxed geometry.

Structure (POSCAR):
```
LiMoRh2
1.0
2.773 0.000 0.000
0.000 3.443 0.000
0.000 0.000 5.591
Rh Li Mo
2 1 1
Direct
0.000 0.000 0.759
0.000 0.000 0.241
0.500 0.500 0.000
0.500 0.500 0.500
```

Results
As for the crystal system: orthorhombic.

---

<2>
DFT (SCAN) results for LiMoRh2 at its PBEsol-relaxed geometry.

Structure (POSCAR):
```
LiMoRh2
1.0
-0.653 2.481 0.930
-1.533 1.667 -1.521
-7.875 -1.864 3.448
Rh Li Mo
2 1 1
Direct
0.749 0.749 0.754
0.251 0.251 0.246
0.500 0.500 0.500
0.000 0.000 0.000
```

Results
As for the crystal system: trigonal.

---

<3>
DFT (SCAN) results for LiMoRh2 at its PBEsol-relaxed geometry.

Structure (POSCAR):
```
LiMoRh2
1.0
4.017 0.000 0.000
-2.008 3.874 -0.002
0.000 -2.080 3.436
Mo Rh Li
1 2 1
Direct
0.000 0.000 0.000
0.250 0.500 0.750
0.750 0.500 0.250
0.500 0.000 0.500
```

Results
As for the crystal system: tetragonal.

---

<4>
DFT (SCAN) results for LiMoRh2 at its PBEsol-relaxed geometry.

Structure (POSCAR):
```
LiMoRh2
1.0
3.135 0.000 0.000
0.000 3.135 0.000
0.000 0.000 5.442
Mo Li Rh
1 1 2
Direct
0.500 0.500 0.742
0.000 0.000 0.475
0.500 0.500 0.301
0.000 0.000 0.981
```

Results
As for the crystal system: tetragonal.

---

The least stable of them is <4>.

---

<1>
DFT (SCAN) results for LiMoRh2 at its PBEsol-relaxed geometry.

Structure (POSCAR):
```
LiMoRh2
1.0
4.232 0.000 0.000
2.116 3.665 0.000
2.116 1.222 3.456
Rh Mo Li
2 1 1
Direct
0.750 0.750 0.750
0.250 0.250 0.250
0.500 0.500 0.500
0.000 0.000 0.000
```

Results
As for the crystal system: cubic.

---

<2>
DFT (SCAN) results for LiMoRh2 at its PBEsol-relaxed geometry.

Structure (POSCAR):
```
LiMoRh2
1.0
2.860 0.000 0.000
0.000 2.860 0.000
0.000 0.000 6.362
Rh Mo Li
2 1 1
Direct
0.000 0.000 0.231
0.000 0.000 0.769
0.500 0.500 0.500
0.500 0.500 0.000
```

Results
As for the crystal system: tetragonal.

---

The least stable of them is <1>.

---

<1>
DFT (SCAN) results for LiMo2Rh at its PBEsol-relaxed geometry.

Structure (POSCAR):
```
LiMo2Rh
1.0
3.611 0.000 0.000
0.000 3.611 0.000
-1.806 -1.806 4.235
Rh Mo Li
1 2 1
Direct
0.500 0.500 0.000
0.250 0.750 0.500
0.750 0.250 0.500
0.000 0.000 0.000
```

Results
As for the crystal system: tetragonal.

---

<2>
DFT (SCAN) results for LiMo2Rh at its PBEsol-relaxed geometry.

Structure (POSCAR):
```
LiMo2Rh
1.0
3.041 0.000 0.000
0.000 4.491 0.000
-1.521 -2.245 4.187
Rh Mo Li
1 2 1
Direct
0.496 0.496 0.992
0.743 0.243 0.485
0.017 0.017 0.033
0.245 0.745 0.490
```

Results
As for the crystal system: orthorhombic.

---

The least stable of them is <2>.

---

<1>
DFT (SCAN) results for LiSb2Mo at its PBEsol-relaxed geometry.

Structure (POSCAR):
```
LiSb2Mo
1.0
3.370 0.000 0.000
0.000 4.375 0.031
-1.685 -0.034 5.065
Li Mo Sb
1 1 2
Direct
0.539 0.625 0.078
0.700 0.125 0.400
0.987 0.125 0.975
0.274 0.625 0.547
```

Results
As for the crystal system: orthorhombic.

---

<2>
DFT (SCAN) results for LiSb2Mo at its PBEsol-relaxed geometry.

Structure (POSCAR):
```
LiSb2Mo
1.0
3.687 0.000 0.000
0.000 3.687 0.000
0.000 0.000 5.508
Li Sb Mo
1 2 1
Direct
0.000 0.000 0.479
0.000 0.000 0.957
0.500 0.500 0.291
0.500 0.500 0.773
```

Results
As for the crystal system: tetragonal.

---

The least stable of them is <2>.

---

<1>
DFT (SCAN) results for SrLiMo2 at its PBEsol-relaxed geometry.

Structure (POSCAR):
```
SrLiMo2
1.0
-2.701 0.131 2.639
0.733 -3.589 0.929
3.547 1.643 3.549
Li Mo Sr
1 2 1
Direct
0.000 0.000 0.500
0.000 0.500 0.000
0.500 0.000 0.000
0.500 0.500 0.500
```

Results
As for the crystal system: tetragonal.

---

<2>
DFT (SCAN) results for SrLiMo2 at its PBEsol-relaxed geometry.

Structure (POSCAR):
```
SrLiMo2
1.0
2.987 -0.006 0.000
-1.182 2.743 0.000
0.000 0.000 9.918
Li Sr Mo
1 1 2
Direct
0.500 0.500 0.208
0.000 0.000 0.520
0.500 0.500 0.794
0.000 0.000 0.978
```

Results
As for the crystal system: orthorhombic.

---

The least stable of them is <1>.

---

<1>
DFT (SCAN) results for Sr2LiMo at its PBEsol-relaxed geometry.

Structure (POSCAR):
```
Sr2LiMo
1.0
3.803 0.000 0.000
0.000 5.568 0.103
0.000 -0.101 5.568
Mo Sr Li
1 2 1
Direct
0.500 0.500 0.500
0.000 0.500 0.000
0.000 0.000 0.500
0.500 0.000 0.000
```

Results
As for the crystal system: tetragonal.

---

<2>
DFT (SCAN) results for Sr2LiMo at its PBEsol-relaxed geometry.

Structure (POSCAR):
```
Sr2LiMo
1.0
3.727 0.000 0.000
0.000 5.487 0.000
-1.863 -2.744 5.673
Sr Mo Li
2 1 1
Direct
0.970 0.970 0.940
0.761 0.261 0.522
0.225 0.725 0.450
0.544 0.544 0.088
```

Results
As for the crystal system: orthorhombic.

---

The least stable of them is <2>.

---

<1>
DFT (SCAN) results for SrLi2Mo at its PBEsol-relaxed geometry.

Structure (POSCAR):
```
SrLi2Mo
1.0
2.907 0.000 0.000
0.000 2.907 0.000
0.000 0.000 9.614
Li Mo Sr
2 1 1
Direct
0.500 0.500 0.264
0.000 0.000 0.039
0.000 0.000 0.468
0.500 0.500 0.729
```

Results
As for the crystal system: tetragonal.

---

<2>
DFT (SCAN) results for SrLi2Mo at its PBEsol-relaxed geometry.

Structure (POSCAR):
```
SrLi2Mo
1.0
-1.432 -1.268 -2.185
-3.910 -1.384 3.366
0.025 6.175 -1.670
Li Mo Sr
2 1 1
Direct
0.216 0.216 0.432
0.784 0.784 0.568
0.500 0.000 0.000
0.000 0.500 0.000
```

Results
As for the crystal system: orthorhombic.

---

The least stable of them is <2>.

---

<1>
DFT (SCAN) results for Li2TaMo at its PBEsol-relaxed geometry.

Structure (POSCAR):
```
Li2TaMo
1.0
2.956 0.000 0.000
0.000 4.264 -0.037
-1.478 -2.082 5.064
Li Mo Ta
2 1 1
Direct
0.756 0.756 0.512
0.244 0.244 0.488
0.500 0.000 0.000
0.000 0.500 0.000
```

Results
As for the crystal system: orthorhombic.

---

<2>
DFT (SCAN) results for Li2TaMo at its PBEsol-relaxed geometry.

Structure (POSCAR):
```
Li2TaMo
1.0
-0.294 1.183 -4.082
1.169 -2.692 -3.088
-2.949 -1.760 -2.521
Ta Li Mo
1 2 1
Direct
0.500 0.500 0.500
0.250 0.250 0.250
0.750 0.750 0.750
0.000 0.000 0.000
```

Results
As for the crystal system: cubic.

---

<3>
DFT (SCAN) results for Li2TaMo at its PBEsol-relaxed geometry.

Structure (POSCAR):
```
Li2TaMo
1.0
2.503 0.000 0.000
0.000 4.434 0.000
0.000 0.000 5.887
Li Ta Mo
2 1 1
Direct
0.000 0.000 0.011
0.500 0.500 0.243
0.500 0.500 0.730
0.000 0.000 0.516
```

Results
As for the crystal system: orthorhombic.

---

The least stable of them is <2>.

---

<1>
DFT (SCAN) results for LiTc2Mo at its PBEsol-relaxed geometry.

Structure (POSCAR):
```
LiTc2Mo
1.0
-0.383 -1.078 2.807
2.997 -3.053 -0.763
1.695 4.661 0.385
Li Tc Mo
1 2 1
Direct
0.500 0.000 0.000
0.739 0.739 0.479
0.261 0.261 0.521
0.000 0.500 0.000
```

Results
As for the crystal system: orthorhombic.

---

<2>
DFT (SCAN) results for LiTc2Mo at its PBEsol-relaxed geometry.

Structure (POSCAR):
```
LiTc2Mo
1.0
-1.949 0.868 -3.680
2.051 -0.579 -3.681
-1.147 -3.167 -2.598
Tc Mo Li
2 1 1
Direct
0.000 0.000 0.000
0.750 0.750 0.750
0.250 0.250 0.250
0.500 0.500 0.500
```

Results
As for the crystal system: cubic.

---

The least stable of them is <2>.

---

<1>
DFT (SCAN) results for LiTe2Mo at its PBEsol-relaxed geometry.

Structure (POSCAR):
```
LiTe2Mo
1.0
3.423 0.000 0.000
0.000 3.564 0.000
-1.711 -1.782 6.982
Mo Te Li
1 2 1
Direct
0.297 0.797 0.595
0.709 0.209 0.418
0.945 0.945 0.891
0.548 0.548 0.096
```

Results
As for the crystal system: orthorhombic.

---

<2>
DFT (SCAN) results for LiTe2Mo at its PBEsol-relaxed geometry.

Structure (POSCAR):
```
LiTe2Mo
1.0
-2.785 0.620 -4.064
-4.856 -1.032 0.136
-3.327 3.682 -0.192
Te Mo Li
2 1 1
Direct
0.750 0.750 0.750
0.000 0.000 0.000
0.250 0.250 0.250
0.500 0.500 0.500
```

Results
As for the crystal system: cubic.

---

The least stable of them is <2>.